# 1
A relaxed structure of Cd5Co4, computed with PBE-GGA.

Cell: 8.5760 8.5760 4.0358 Å, 90.00 90.00 90.00°
Space group I4/mmm (No. 139)
One atom of each set of equivalent atoms:
Cd1 0.0000 0.0000 0.0000 [2 per cell]
Cd2 0.1723 0.1723 0.5000 [8 per cell]
Co1 0.0000 0.3662 0.0000 [8 per cell]

Calculated values
DFT total energy, Ry per atom: -0.2489
Magnetization, μB per formula unit: 6.18

---

# 2
A relaxed structure of MnCoMo2Au, computed with PBE-GGA.

Cell: 4.4275 4.4275 4.2048 Å, 90.00 90.00 90.00°
Space group P4/mmm (No. 123)
One atom of each set of equivalent atoms:
Mn1 0.0000 0.0000 0.0000 [1 per cell]
Co1 0.0000 0.0000 0.5000 [1 per cell]
Mo1 0.0000 0.5000 0.5000 [2 per cell]
Au1 0.5000 0.5000 0.0000 [1 per cell]

Calculated values
DFT total energy, Ry per atom: -0.5231
Magnetization, μB per formula unit: 0.00

---

# 3
A relaxed structure of Pm3ZnRh3, computed with PBE-GGA.

Cell: 8.4927 8.4927 5.6532 Å, 90.00 90.00 120.00°
Space group P6_3/m (No. 176)
One atom of each set of equivalent atoms:
Pm1 0.0549 0.6885 0.2500 [6 per cell]
Zn1 0.3333 0.6667 0.7500 [2 per cell]
Rh1 0.0498 0.6913 0.7500 [6 per cell]

Calculated values
DFT total energy, Ry per atom: -0.4240
Magnetization, μB per formula unit: 0.00

---

# 4
A relaxed structure of LaSm6Ho3Er2, computed with PBE-GGA.

Cell: 6.2301 10.7873 11.8938 Å, 90.00 100.05 90.00°
Space group C2/m (No. 12)
One atom of each set of equivalent atoms:
La1 0.0000 0.0000 0.0000 [2 per cell]
Sm1 0.2480 0.3326 0.7476 [8 per cell]
Sm2 0.2500 0.0000 0.7474 [4 per cell]
Ho1 0.0000 0.1672 0.5000 [4 per cell]
Ho2 0.0000 0.5000 0.5000 [2 per cell]
Er1 0.0000 0.3334 0.0000 [4 per cell]

Calculated values
DFT total energy, Ry per atom: -0.3421
Magnetization, μB per formula unit: 0.00

---

# 5
A relaxed structure of FeSb2AsI, computed with PBE-GGA.

Cell: 4.8595 4.8595 5.3258 Å, 90.00 90.00 90.00°
Space group P4/mmm (No. 123)
One atom of each set of equivalent atoms:
Fe1 0.0000 0.0000 0.0000 [1 per cell]
Sb1 0.0000 0.5000 0.0000 [2 per cell]
As1 0.5000 0.5000 0.5000 [1 per cell]
I1 0.0000 0.0000 0.5000 [1 per cell]

Calculated values
Magnetization, μB per formula unit: 0.02
Formation energy without anion corrections, meV/atom: 618

---

# 6
A relaxed structure of CaPrSnAu, computed with PBE-GGA.

Cell: 7.5918 7.5918 7.5918 Å, 90.00 90.00 90.00°
Space group F-43m (No. 216)
One atom of each set of equivalent atoms:
Ca1 0.0000 0.0000 0.0000 [4 per cell]
Pr1 0.0000 0.0000 0.5000 [4 per cell]
Sn1 0.2500 0.2500 0.7500 [4 per cell]
Au1 0.2500 0.2500 0.2500 [4 per cell]

Calculated values
DFT total energy, Ry per atom: -0.3138
Magnetization, μB per formula unit: 0.00